1.
Here is an optimized crystal structure of PaZn5Cu2 from Alexandria via LeMat-Bulk. Energies are from PBE.

Lattice parameters (Å, degrees): 3.831 6.215 6.215 71.84 72.05 72.05
Element x y z (fractional)
Zn 0.353 0.460 0.834
Cu 0.736 0.764 0.764
Zn 0.000 0.500 0.500
Zn 0.353 0.834 0.460
Pa 0.000 0.000 0.000
Cu 0.264 0.236 0.236
Zn 0.647 0.166 0.540
Zn 0.647 0.540 0.166

## Properties
N(E_F) ... 5.2 states/eV/f.u.
Energy of formation from the pure elements ... -0.069 eV per atom
Volume ... 16.3 Å³/atom

2.
Here is an optimized crystal structure of PaZn5Cu4 from Alexandria via LeMat-Bulk. Energies are from PBE.

Lattice parameters (Å, degrees): 2.841 2.841 17.943 90.00 90.00 90.00
Element x y z (fractional)
Zn 0.500 0.500 0.866
Zn 0.500 0.500 0.683
Cu 0.000 0.000 0.225
Cu 0.000 0.000 0.591
Cu 0.000 0.000 0.775
Zn 0.500 0.500 0.317
Zn 0.500 0.500 0.134
Cu 0.000 0.000 0.409
Zn 0.500 0.500 0.500
Pa 0.000 0.000 0.000

## Properties
N(E_F) ... 5.1 states/eV/f.u.
Energy of formation from the pure elements ... -0.059 eV per atom
Volume ... 14.5 Å³/atom

3.
Here is an optimized crystal structure of PaZn2Cu from Alexandria via LeMat-Bulk. Energies are from PBE.

Lattice parameters (Å, degrees): 2.961 2.961 9.375 80.91 80.91 60.00
Element x y z (fractional)
Cu 0.000 0.000 0.000
Zn 0.737 0.737 0.788
Zn 0.263 0.263 0.212
Pa 0.500 0.500 0.500

## Properties
Excess energy over the best structure of this formula in the dataset ... 0.130 eV per atom
N(E_F) ... 3.3 states/eV/f.u.
Energy of formation from the pure elements ... 0.063 eV per atom
Volume ... 17.5 Å³/atom

4.
Here is an optimized crystal structure of PaZn7Cu5 from Alexandria via LeMat-Bulk. Energies are from PBE.

Lattice parameters (Å, degrees): 4.901 6.707 6.707 82.45 68.57 68.57
Element x y z (fractional)
Zn 0.500 0.784 0.215
Pa 0.008 0.992 0.992
Cu 0.498 0.503 0.000
Cu 0.715 0.785 0.785
Zn 0.282 0.218 0.218
Zn 0.657 0.343 0.343
Zn 0.353 0.647 0.647
Zn 0.995 0.355 0.655
Zn 0.995 0.655 0.355
Cu 0.498 0.000 0.503
Zn 0.500 0.215 0.784
Cu 0.999 0.503 0.000
Cu 0.999 0.000 0.503

## Properties
N(E_F) ... 8.6 states/eV/f.u.
Energy of formation from the pure elements ... -0.092 eV per atom
Volume ... 14.7 Å³/atom

5.
Here is an optimized crystal structure of Pa2Zn2Cu3 from Alexandria via LeMat-Bulk. Energies are from PBE.

Lattice parameters (Å, degrees): 4.119 6.837 9.110 90.00 103.07 90.00
Element x y z (fractional)
Zn 0.691 0.561 0.382
Zn 0.309 0.061 0.618
Zn 0.691 0.939 0.382
Cu 0.440 0.570 0.880
Zn 0.309 0.439 0.618
Cu 0.226 0.750 0.453
Pa 0.149 0.250 0.298
Cu 0.560 0.430 0.120
Cu 0.440 0.930 0.880
Pa 0.054 0.750 0.108
Pa 0.851 0.750 0.702
Cu 0.774 0.250 0.547
Pa 0.946 0.250 0.892
Cu 0.560 0.070 0.120

## Properties
N(E_F) ... 9.4 states/eV/f.u.
Energy of formation from the pure elements ... 0.013 eV per atom
Volume ... 17.9 Å³/atom

6.
Here is an optimized crystal structure of PaZn2Cu from Alexandria via LeMat-Bulk. Energies are from PBE.

Lattice parameters (Å, degrees): 4.417 5.387 6.462 90.00 90.00 114.16
Element x y z (fractional)
Zn 0.625 0.251 0.056
Zn 0.625 0.251 0.444
Zn 0.375 0.749 0.944
Pa 0.911 0.822 0.250
Cu 0.205 0.410 0.250
Zn 0.375 0.749 0.556
Pa 0.089 0.178 0.750
Cu 0.795 0.590 0.750

## Properties
Excess energy over the best structure of this formula in the dataset ... 0.000 eV per atom
N(E_F) ... 3.9 states/eV/f.u.
Energy of formation from the pure elements ... -0.066 eV per atom
Volume ... 17.5 Å³/atom